(1)
DFT (GGA-PBE) results for TlCo2Br after structural relaxation.

Properties
- excess energy over the best structure of this formula in the dataset (meV/atom) = 151

Geometry as POSCAR:
```
TlCo2Br
1.0
-5.1266 0.0563 -4.2144
-4.1157 -4.7619 -2.1052
2.8878 3.4223 4.8985
Br Co Tl
1 2 1
Direct
0.2225 0.7225 0.5000 Br
0.9595 0.9595 0.0000 Co
0.8322 0.3322 0.5000 Co
0.4858 0.4858 0.0000 Tl
```



(2)
DFT (GGA-PBE) results for CaSmIn2 after structural relaxation.

Properties
- formation enthalpy at 0 K (eV/f.u.) = -1.9

Geometry as POSCAR:
```
CaSmIn2
1.0
-4.1581 -1.4106 0.5920
1.5916 -3.2068 3.5379
-0.6979 3.5330 3.5163
Ca Sm In
1 1 2
Direct
0.5000 0.0000 0.0000 Ca
0.5000 0.5000 0.5000 Sm
0.0000 0.0000 0.5000 In
0.0000 0.5000 0.0000 In
```



Number 1: DOS at the Fermi energy 3.49 states/eV/cell, raw total energy -4.067 eV/atom. Number 2: DOS at the Fermi energy 1.56 states/eV/cell, raw total energy -3.522 eV/atom.